# Zn2CoAs | Alexandria via LeMat-Bulk | PBE | optimized geometry
# E_tot = -3.509 eV/atom
# Formation energy = 0.3 eV/f.u.
data_Zn2CoAs
_symmetry_space_group_name_H-M 'P 1'
_symmetry_Int_Tables_number 1
_symmetry_space_group_name_Hall 'P 1'
_cell_length_a 8.421
_cell_length_b 2.938
_cell_length_c 4.739
_cell_angle_alpha 90.00
_cell_angle_beta 100.05
_cell_angle_gamma 90.00
loop_
_atom_site_label
_atom_site_fract_x
_atom_site_fract_y
_atom_site_fract_z
_atom_site_occupancy
Zn1 0.000 0.000 0.000 1
Zn2 0.242 0.000 0.770 1
Zn3 0.500 0.500 0.000 1
Zn4 0.742 0.500 0.770 1
Co1 0.243 0.500 0.243 1
Co2 0.743 0.000 0.243 1
As1 0.460 0.000 0.448 1
As2 0.960 0.500 0.448 1


# LaInSi2 | Alexandria via LeMat-Bulk | PBE | optimized geometry
# E_form (uncorrected) = -141 meV per atom
# E_tot = -4.769 eV/atom
data_LaInSi2
_symmetry_space_group_name_H-M 'P 1'
_symmetry_Int_Tables_number 1
_symmetry_space_group_name_Hall 'P 1'
_cell_length_a 3.540
_cell_length_b 3.540
_cell_length_c 7.080
_cell_angle_alpha 90.00
_cell_angle_beta 90.00
_cell_angle_gamma 90.00
loop_
_atom_site_label
_atom_site_fract_x
_atom_site_fract_y
_atom_site_fract_z
_atom_site_occupancy
La1 0.000 0.000 0.000 1
In1 0.500 0.500 0.664 1
Si1 0.000 0.000 0.421 1
Si2 0.500 0.500 0.281 1


# CsCoAs2Br | Alexandria via LeMat-Bulk | PBE | optimized geometry
# E_form (uncorrected) = -177 meV per atom
# E_tot = -3.964 eV/atom
data_CsCoAs2Br
_symmetry_space_group_name_H-M 'P 1'
_symmetry_Int_Tables_number 1
_symmetry_space_group_name_Hall 'P 1'
_cell_length_a 4.553
_cell_length_b 4.553
_cell_length_c 8.372
_cell_angle_alpha 90.00
_cell_angle_beta 90.00
_cell_angle_gamma 90.00
loop_
_atom_site_label
_atom_site_fract_x
_atom_site_fract_y
_atom_site_fract_z
_atom_site_occupancy
Cs1 0.000 0.000 0.000 1
Co1 0.500 0.500 0.500 1
As1 0.000 0.500 0.500 1
As2 0.500 0.000 0.500 1
Br1 0.500 0.500 0.000 1


# ZnCdSiIr | Alexandria via LeMat-Bulk | PBE | optimized geometry
# Distance to the lowest polymorph of the same formula = 66 meV/atom
# E_form (uncorrected) = -153 meV per atom
# E_tot = -4.271 eV/atom
data_ZnCdSiIr
_symmetry_space_group_name_H-M 'P 1'
_symmetry_Int_Tables_number 1
_symmetry_space_group_name_Hall 'P 1'
_cell_length_a 4.138
_cell_length_b 4.138
_cell_length_c 13.640
_cell_angle_alpha 90.00
_cell_angle_beta 90.00
_cell_angle_gamma 120.00
loop_
_atom_site_label
_atom_site_fract_x
_atom_site_fract_y
_atom_site_fract_z
_atom_site_occupancy
Zn1 0.000 0.000 0.000 1
Zn2 0.333 0.667 0.667 1
Zn3 0.667 0.333 0.333 1
Cd1 0.000 0.000 0.773 1
Cd2 0.333 0.667 0.440 1
Cd3 0.667 0.333 0.106 1
Si1 0.000 0.000 0.566 1
Si2 0.333 0.667 0.233 1
Si3 0.667 0.333 0.899 1
Ir1 0.000 0.000 0.222 1
Ir2 0.333 0.667 0.888 1
Ir3 0.667 0.333 0.555 1


# TbPr3In | Alexandria via LeMat-Bulk | PBE | optimized geometry
# Distance to the lowest polymorph of the same formula = 316 meV/atom
# E_tot = -4.214 eV/atom
# Formation energy = 0.6 eV/f.u.
data_TbPr3In
_symmetry_space_group_name_H-M 'P 1'
_symmetry_Int_Tables_number 1
_symmetry_space_group_name_Hall 'P 1'
_cell_length_a 7.941
_cell_length_b 7.941
_cell_length_c 7.941
_cell_angle_alpha 88.34
_cell_angle_beta 115.03
_cell_angle_gamma 127.30
loop_
_atom_site_label
_atom_site_fract_x
_atom_site_fract_y
_atom_site_fract_z
_atom_site_occupancy
Tb1 0.247 0.250 0.497 1
Tb2 0.753 0.750 0.503 1
Pr1 0.114 0.435 0.180 1
Pr2 0.150 0.421 0.772 1
Pr3 0.150 0.878 0.229 1
Pr4 0.255 0.935 0.820 1
Pr5 0.648 0.378 0.228 1
Pr6 0.648 0.921 0.771 1
In1 0.640 0.949 0.191 1
In2 0.757 0.449 0.809 1


# LiSbHI2 | Alexandria via LeMat-Bulk | PBE | optimized geometry
# Distance to the lowest polymorph of the same formula = 0 meV/atom
# E_tot = -2.536 eV/atom
data_LiSbHI2
_symmetry_space_group_name_H-M 'P 1'
_symmetry_Int_Tables_number 1
_symmetry_space_group_name_Hall 'P 1'
_cell_length_a 5.754
_cell_length_b 5.754
_cell_length_c 3.937
_cell_angle_alpha 90.00
_cell_angle_beta 90.00
_cell_angle_gamma 90.00
loop_
_atom_site_label
_atom_site_fract_x
_atom_site_fract_y
_atom_site_fract_z
_atom_site_occupancy
Li1 0.000 0.000 0.000 1
Sb1 0.500 0.500 0.000 1
H1 0.500 0.500 0.500 1
I1 0.000 0.500 0.500 1
I2 0.500 0.000 0.500 1


# K2UTl3O6 | Alexandria via LeMat-Bulk | PBE | optimized geometry
# E_form (uncorrected) = -1717 meV per atom
# E_tot = -5.912 eV/atom
data_K2UTl3O6
_symmetry_space_group_name_H-M 'P 1'
_symmetry_Int_Tables_number 1
_symmetry_space_group_name_Hall 'P 1'
_cell_length_a 6.648
_cell_length_b 6.648
_cell_length_c 6.490
_cell_angle_alpha 99.71
_cell_angle_beta 99.71
_cell_angle_gamma 118.75
loop_
_atom_site_label
_atom_site_fract_x
_atom_site_fract_y
_atom_site_fract_z
_atom_site_occupancy
K1 0.168 0.832 0.000 1
K2 0.832 0.168 0.000 1
U1 0.500 0.500 0.000 1
Tl1 0.000 0.000 0.500 1
Tl2 0.345 0.655 0.500 1
Tl3 0.655 0.345 0.500 1
O1 0.181 0.431 0.825 1
O2 0.326 0.326 0.252 1
O3 0.431 0.181 0.825 1
O4 0.569 0.819 0.175 1
O5 0.674 0.674 0.748 1
O6 0.819 0.569 0.175 1